Here is a relaxed structure of CaV2P3O12 from Alexandria. Energies are from PBE with a Hubbard U.

Cell: 6.440 6.530 20.153 Å, 90.00 90.00 91.86°
Fractional coordinates of all 72 atoms:
1 O 0.876 0.363 0.703
2 O 0.060 0.924 0.888
3 O 0.535 0.098 0.710
4 O 0.757 0.919 0.798
5 O 0.927 0.087 0.300
6 O 0.914 0.739 0.600
7 O 0.709 0.242 0.391
8 O 0.586 0.761 0.100
9 O 0.097 0.223 0.800
10 O 0.938 0.788 0.997
11 O 0.403 0.277 0.300
12 O 0.143 0.560 0.920
13 O 0.824 0.365 0.523
14 O 0.176 0.635 0.477
15 O 0.440 0.576 0.388
16 O 0.610 0.594 0.909
17 O 0.257 0.419 0.702
18 O 0.965 0.402 0.210
19 O 0.110 0.094 0.591
20 O 0.573 0.413 0.800
21 O 0.324 0.865 0.977
22 O 0.562 0.712 0.497
23 O 0.357 0.940 0.420
24 O 0.597 0.723 0.700
25 O 0.243 0.081 0.202
26 O 0.124 0.637 0.297
27 O 0.643 0.060 0.580
28 O 0.903 0.777 0.200
29 O 0.062 0.212 0.003
30 O 0.940 0.076 0.112
31 O 0.035 0.598 0.790
32 O 0.414 0.239 0.900
33 O 0.073 0.913 0.700
34 O 0.791 0.258 0.891
35 O 0.390 0.406 0.091
36 O 0.890 0.906 0.409
37 O 0.291 0.758 0.609
38 O 0.857 0.440 0.080
39 O 0.560 0.424 0.612
40 O 0.376 0.863 0.797
41 O 0.438 0.288 0.503
42 O 0.427 0.587 0.200
43 O 0.676 0.135 0.023
44 O 0.465 0.902 0.290
45 O 0.086 0.261 0.400
46 O 0.209 0.742 0.109
47 O 0.743 0.581 0.298
48 O 0.624 0.137 0.203
49 V 0.602 0.764 0.596
50 V 0.898 0.736 0.096
51 V 0.070 0.892 0.789
52 V 0.930 0.108 0.211
53 V 0.570 0.392 0.711
54 V 0.398 0.236 0.404
55 V 0.430 0.608 0.289
56 V 0.102 0.264 0.904
57 Ca 0.858 0.570 0.425
58 Ca 0.142 0.430 0.575
59 Ca 0.358 0.070 0.075
60 Ca 0.642 0.930 0.925
61 P 0.124 0.773 0.949
62 P 0.876 0.227 0.051
63 P 0.097 0.886 0.621
64 P 0.433 0.098 0.249
65 P 0.624 0.273 0.551
66 P 0.903 0.114 0.379
67 P 0.403 0.614 0.121
68 P 0.376 0.727 0.449
69 P 0.933 0.598 0.251
70 P 0.567 0.902 0.751
71 P 0.597 0.386 0.879
72 P 0.067 0.402 0.749

Values from the calculation:
symmetry = No. 14
energy = -7.49 eV/atom
spin magnetization = 3.00 μB per formula unit